{
  "formula": "BaMnAsSe2",
  "functional": "PBE",
  "state": "relaxed",
  "lattice_angstrom": [[-3.1068, -2.1027, -3.5503], [-0.6515, -4.1385, 3.0211], [-3.7380, 2.0780, 2.0404]],
  "species": ["As", "Mn", "Ba", "Se", "Se"],
  "frac_coords": [[0.0000, 0.0000, 0.5000], [0.0000, 0.0000, 0.0000], [0.5000, 0.5000, 0.5000], [0.0000, 0.5000, 0.0000], [0.5000, 0.0000, 0.0000]],
  "dos_ef_per_ev_fu": 1.992,
  "formation_energy_uncorrected_ev_per_fu": -3.8
}